Record 1
Material: Al2CoTc
Method: DFT, GGA-PBE
State: optimized geometry

abc: 2.9101 2.9101 6.1161
angles: 90.00 90.00 90.00
Fractional positions:
Al1 0.0000 0.0000 0.2292
Al2 0.0000 0.0000 0.7708
Co1 0.5000 0.5000 0.0000
Tc1 0.5000 0.5000 0.5000

## Properties
**Spin magnetization**: 0.0002 μB per atom
**Total energy**: -6.66 eV/atom
**Excess energy over the best structure of this formula in the dataset**: 0.8 meV per atom

Record 2
Material: ScTcRh3
Method: DFT, GGA-PBE
State: optimized geometry

abc: 4.5748 4.5748 4.5748
angles: 90.00 90.00 90.00
Fractional positions:
Sc1 0.0000 0.0000 0.0000
Tc1 0.5000 0.5000 0.5000
Rh1 0.0000 0.0000 0.5000
Rh2 0.0000 0.5000 0.0000
Rh3 0.5000 0.0000 0.0000

## Properties
**Spin magnetization**: 0.7880 μB per atom
**Total energy**: -6.63 eV/atom
**Excess energy over the best structure of this formula in the dataset**: 497.1 meV per atom